No. 1
3
Lattice="3.862 0.000 0.000 0.000 3.862 0.000 -1.931 -1.931 6.618" Properties=species:S:1:pos:R:3 comment="NdEuCd, optimized geometry, DFT PBE-GGA" space_group="No. 107" e_tot_ev_per_atom=-5.501 formation_enthalpy_0k_kj_per_mol_atoms=-17.57 pbc="T T T"
Eu 0.000 0.000 0.245
Nd 0.000 0.000 4.104
Cd 1.931 1.931 2.269

---

No. 2
13
Lattice="-4.269 6.806 4.673 6.174 -13.060 -0.377 5.656 1.701 1.416" Properties=species:S:1:pos:R:3 comment="Tb2Dy4Tm7, optimized geometry, DFT PBE-GGA" space_group="No. 2" e_tot_ev_per_atom=-4.517 formation_enthalpy_0k_kj_per_mol_atoms=1.84 pbc="T T T"
Tb 3.729 2.134 4.313
Tb 3.832 -6.686 1.399
Dy 8.414 -10.614 0.768
Dy -0.853 6.062 4.944
Dy 1.489 -0.315 3.168
Dy 6.072 -4.237 2.544
Tm 7.251 -7.437 1.663
Tm 0.310 2.885 4.049
Tm 0.000 0.000 0.000
Tm 2.560 5.319 5.204
Tm 5.001 -9.872 0.508
Tm 2.657 -3.497 2.281
Tm 4.904 -1.056 3.431

---

No. 3
10
Lattice="6.188 0.009 -0.179 -1.276 6.055 -0.179 -2.314 -2.858 5.064" Properties=species:S:1:pos:R:3 comment="NaCu2S2, optimized geometry, DFT PBE-GGA" space_group="No. 70" e_tot_ev_per_atom=-4.015 pbc="T T T"
Na -0.922 4.585 1.087
Na 3.519 -1.378 3.619
Cu 2.849 1.609 2.402
Cu 0.458 -1.343 4.836
Cu 2.139 4.549 -0.130
Cu -0.251 1.598 2.304
S 1.301 2.784 1.087
S 4.319 0.340 1.087
S -1.722 2.867 3.619
S 1.296 0.423 3.619

---

No. 4
4
Lattice="-8.608 6.820 -3.002 -9.638 3.922 -4.619 -10.418 4.413 -1.268" Properties=species:S:1:pos:R:3 comment="YTlSb2, optimized geometry, DFT PBE-GGA" space_group="No. 160" e_tot_ev_per_atom=-4.273 pbc="T T T"
Sb -0.261 0.138 -0.081
Sb -6.901 3.649 -2.140
Tl -14.299 7.560 -4.434
Y -21.535 11.387 -6.679

---

No. 5
4
Lattice="4.173 0.000 0.000 2.086 3.614 0.000 2.086 1.205 3.407" Properties=species:S:1:pos:R:3 comment="FeCoCuPt, optimized geometry, DFT PBE-GGA" space_group="No. 216" e_tot_ev_per_atom=-6.477 formation_enthalpy_0k_kj_per_mol_atoms=-4.92 pbc="T T T"
Co 0.000 0.000 0.000
Cu 2.086 1.205 0.852
Pt 4.173 2.409 1.703
Fe 6.259 3.614 2.555

---

No. 6
4
Lattice="6.504 -0.014 -0.004 3.060 5.739 0.004 -4.189 -3.854 3.147" Properties=species:S:1:pos:R:3 comment="LiCa2Cd, optimized geometry, DFT PBE-GGA" space_group="No. 44" e_tot_ev_per_atom=-1.864 formation_enthalpy_0k_kj_per_mol_atoms=-15.10 pbc="T T T"
Ca 0.136 0.081 0.000
Ca 3.311 -0.645 1.572
Li 2.178 2.585 1.576
Cd 4.532 2.713 0.000